The following is a PBE calculation of an optimized crystal structure of InPdPt2, from Alexandria via LeMat-Bulk. Values from VASP.

Summary:
- theoretical density (Mg/m³) = 15.26
- formation energy (eV per atom) = -0.3633
- uncorrected energy (eV per formula unit) = -21.47
- volume (Å³/atom) = 16.63
- size of the total moment (μB per formula unit) = 0.00

Quantum ESPRESSO input file:
```
&SYSTEM
  ibrav = 0, nat = 4, ntyp = 3
/
ATOMIC_SPECIES
In 114.82 In.upf
Pt 195.08 Pt.upf
Pd 106.42 Pd.upf
ATOMIC_POSITIONS angstrom
In 2.088 0.000 1.907
Pt 0.000 0.000 0.000
Pt 0.000 2.088 1.908
Pd 0.000 0.000 3.815
CELL_PARAMETERS angstrom
4.176 0.000 0.000
0.000 4.176 0.000
-2.088 -2.088 3.815
```